DFT (SCAN) results for a PBEsol-optimized structure of BeInPb.

Cell lengths 4.5409, 4.5409, 4.5409 Å; angles 60.00, 60.00, 60.00 degrees
Positions (direct):
In (0.0000, 0.0000, 0.0000)
Be (0.2500, 0.2500, 0.2500)
Pb (0.5000, 0.5000, 0.5000)

Properties
excess energy over the best structure of this formula in the dataset = 0 meV/atom
DOS(E_F) = 0.9 states/eV per cell
energy of formation from the pure elements = 0.2851 eV per atom
total energy = -37.56 eV/atom

DFT (SCAN) results for a PBEsol-optimized structure of BeIn2Pb.

Cell lengths 3.2897, 3.2897, 8.4717 Å; angles 90.00, 90.00, 99.79 degrees
Positions (direct):
In (0.5000, 0.5000, 0.7687)
In (0.0000, 0.0000, 0.0522)
Be (0.5000, 0.5000, 0.2329)
Pb (0.0000, 0.0000, 0.4462)

Properties
excess energy over the best structure of this formula in the dataset = 50 meV/atom
DOS(E_F) = 1.5 states/eV per cell
energy of formation from the pure elements = 0.3266 eV per atom
total energy = -36.40 eV/atom

DFT (SCAN) results for a PBEsol-optimized structure of BeIn2Pb.

Cell lengths 4.1989, 4.1989, 6.7028 Å; angles 71.75, 71.75, 60.00 degrees
Positions (direct):
In (0.0242, 0.0242, 0.9274)
In (0.2606, 0.2606, 0.2182)
Pb (0.4715, 0.4715, 0.5856)
Be (0.7280, 0.7280, 0.8160)

Properties
excess energy over the best structure of this formula in the dataset = 0 meV/atom
DOS(E_F) = 1.0 states/eV per cell
energy of formation from the pure elements = 0.2769 eV per atom
total energy = -36.45 eV/atom

DFT (SCAN) results for a PBEsol-optimized structure of BeIn2Pt.

Cell lengths 3.9905, 4.3141, 4.6821 Å; angles 108.42, 115.22, 90.00 degrees
Positions (direct):
In (0.7523, 0.7448, 0.5045)
In (0.2477, 0.2552, 0.4955)
Pt (0.5000, 0.0000, 0.0000)
Be (0.0000, 0.5000, 0.0000)

Properties
DOS(E_F) = 1.4 states/eV per cell
energy of formation from the pure elements = 0.0021 eV per atom
total energy = -35.33 eV/atom

DFT (SCAN) results for a PBEsol-optimized structure of BeInPt2.

Cell lengths 2.8866, 4.2361, 5.1561 Å; angles 90.00, 106.20, 90.00 degrees
Positions (direct):
In (0.3177, 0.5000, 0.7579)
Be (0.6489, 0.0000, 0.4322)
Pt (0.9454, 0.0000, 0.0125)
Pt (0.5880, 0.5000, 0.2974)

Properties
excess energy over the best structure of this formula in the dataset = 25 meV/atom
DOS(E_F) = 1.1 states/eV per cell
energy of formation from the pure elements = -0.3932 eV per atom
total energy = -44.92 eV/atom

DFT (SCAN) results for a PBEsol-optimized structure of BeInPt2.

Cell lengths 3.7685, 3.7685, 4.9610 Å; angles 112.32, 112.32, 90.00 degrees
Positions (direct):
Be (0.5000, 0.5000, 0.0000)
Pt (0.0000, 0.0000, 0.0000)
Pt (0.7500, 0.2500, 0.5000)
In (0.2500, 0.7500, 0.5000)

Properties
excess energy over the best structure of this formula in the dataset = 62 meV/atom
DOS(E_F) = 1.3 states/eV per cell
energy of formation from the pure elements = -0.3554 eV per atom
total energy = -44.89 eV/atom

DFT (SCAN) results for a PBEsol-optimized structure of BeInPt2.

Cell lengths 2.9020, 2.9020, 8.2801 Å; angles 79.91, 79.91, 60.00 degrees
Positions (direct):
Be (0.5000, 0.5000, 0.5000)
Pt (0.7649, 0.7649, 0.7053)
Pt (0.2351, 0.2351, 0.2947)
In (0.0000, 0.0000, 0.0000)

Properties
excess energy over the best structure of this formula in the dataset = 44 meV/atom
DOS(E_F) = 1.2 states/eV per cell
energy of formation from the pure elements = -0.3736 eV per atom
total energy = -44.91 eV/atom

DFT (SCAN) results for a PBEsol-optimized structure of BeInPt2.

Cell lengths 3.1543, 3.1543, 6.1167 Å; angles 90.00, 90.00, 90.00 degrees
Positions (direct):
Pt (0.0000, 0.0000, 0.0141)
Pt (0.5000, 0.5000, 0.3161)
Be (0.0000, 0.0000, 0.4135)
In (0.5000, 0.5000, 0.7563)

Properties
excess energy over the best structure of this formula in the dataset = 0 meV/atom
DOS(E_F) = 1.3 states/eV per cell
energy of formation from the pure elements = -0.4178 eV per atom
total energy = -44.95 eV/atom